1.
A relaxed structure of ZrAl2Sb2, computed with GGA-PBE.

Properties
Energy above the lowest structure with this stoichiometry   0.00 eV per formula unit
ΔE_f (raw)   -0.0365 eV per atom
Crystal system   tetragonal

a b c (Å): 3.8139 3.8139 8.3266
angles (deg): 76.76 76.76 90.00
Element x y z (fractional)
Sb1 0.4027 0.4027 0.1946
Sb2 0.5973 0.5973 0.8054
Al1 0.7500 0.2500 0.5000
Al2 0.2500 0.7500 0.5000
Zr1 0.0000 0.0000 0.0000

2.
A relaxed structure of AsWN3, computed with GGA-PBE.

Properties
ΔE_f (raw)   0.8256 eV per atom
Crystal system   cubic

a b c (Å): 3.9584 3.9584 3.9584
angles (deg): 90.00 90.00 90.00
Element x y z (fractional)
As1 0.5000 0.5000 0.5000
W1 0.0000 0.0000 0.0000
N1 0.0000 0.5000 0.0000
N2 0.0000 0.0000 0.5000
N3 0.5000 0.0000 0.0000

3.
A relaxed structure of CsCaSbH2, computed with GGA-PBE.

Properties
Energy above the lowest structure with this stoichiometry   0.26 eV per formula unit
Crystal system   monoclinic

a b c (Å): 7.8272 5.2889 8.5924
angles (deg): 90.00 112.73 90.00
Element x y z (fractional)
Cs1 0.2046 0.0000 0.9057
Cs2 0.2046 0.5000 0.4057
Ca1 0.7328 0.0000 0.4026
Ca2 0.7328 0.5000 0.9026
Sb1 0.5784 0.0000 0.6983
Sb2 0.5784 0.5000 0.1983
H1 0.7923 0.0000 0.8749
H2 0.7923 0.5000 0.3749
H3 0.0338 0.0000 0.5004
H4 0.0338 0.5000 0.0004

4.
A relaxed structure of Er12Tm2Sc, computed with GGA-PBE.

Properties
Energy of formation from the pure elements   0.1284 eV/atom
Crystal system   monoclinic

a b c (Å): 6.5442 6.5442 24.2003
angles (deg): 96.79 96.79 114.98
Element x y z (fractional)
Er1 0.6053 0.6053 0.8091
Er2 0.1053 0.1053 0.8091
Er3 0.9507 0.9504 0.9355
Er4 0.1495 0.6495 0.8677
Er5 0.9939 0.9939 0.3278
Er6 0.3505 0.8505 0.1323
Er7 0.6865 0.1865 0.5807
Er8 0.4939 0.4939 0.3278
Er9 0.4504 0.4507 0.9355
Er10 0.5493 0.5496 0.0645
Er11 0.1678 0.1679 0.5560
Er12 0.8135 0.3135 0.4193
Er13 0.0061 0.0061 0.6722
Er14 0.3322 0.3321 0.4440
Er15 0.0496 0.0493 0.0645
Er16 0.8321 0.8322 0.4440
Er17 0.6679 0.6678 0.5560
Er18 0.8947 0.8947 0.1909
Er19 0.1866 0.6866 0.5807
Er20 0.5061 0.5061 0.6722
Er21 0.6496 0.1496 0.8678
Er22 0.3947 0.3947 0.1909
Er23 0.3134 0.8134 0.4193
Er24 0.8504 0.3504 0.1322
Tm1 0.4572 0.9572 0.2785
Tm2 0.9572 0.4572 0.2784
Tm3 0.0428 0.5428 0.7215
Tm4 0.5428 0.0428 0.7216
Sc1 0.4999 0.9999 0.0000
Sc2 0.0001 0.5001 0.0000

5.
A relaxed structure of Yb3Sn5, computed with GGA-PBE.

Properties
Energy of formation from the pure elements   -0.5704 eV/atom
Crystal system   orthorhombic

a b c (Å): 6.5227 6.5227 10.3824
angles (deg): 90.00 90.00 102.26
Site moments in Bohr magnetons follow the coordinates.
Element x y z (fractional)
Yb1 0.1141 0.1141 0.2500  0.15
Yb2 0.8859 0.8859 0.7500  0.15
Yb3 0.2905 0.7095 0.5000  0.16
Yb4 0.2905 0.7095 0.0000  0.16
Yb5 0.7095 0.2905 0.5000  0.16
Yb6 0.7095 0.2905 0.0000  0.16
Sn1 0.9946 0.5612 0.2500  0.00
Sn2 0.4388 0.0054 0.7500  0.00
Sn3 0.0054 0.4388 0.7500  0.00
Sn4 0.5612 0.9946 0.2500  0.00
Sn5 0.8011 0.8011 0.0429  0.00
Sn6 0.1989 0.1989 0.9571  0.00
Sn7 0.8011 0.8011 0.4571  0.00
Sn8 0.1989 0.1989 0.5429  0.00
Sn9 0.5086 0.5086 0.2500  0.00
Sn10 0.4914 0.4914 0.7500  0.00

6.
A relaxed structure of NbCoTe4, computed with GGA-PBE.

Properties
ΔE_f (raw)   -0.2066 eV per atom
Crystal system   monoclinic

a b c (Å): 5.8988 6.5242 8.7147
angles (deg): 112.60 110.45 88.32
Element x y z (fractional)
Nb1 0.2963 0.5463 0.0926
Nb2 0.7037 0.4537 0.9074
Co1 0.0604 0.8104 0.6208
Co2 0.9396 0.1896 0.3792
Te1 0.0053 0.2568 0.1237
Te2 0.6184 0.8670 0.1237
Te3 0.3178 0.4831 0.6030
Te4 0.6822 0.5169 0.3970
Te5 0.2148 0.8802 0.3970
Te6 0.3816 0.1330 0.8763
Te7 0.7852 0.1198 0.6030
Te8 0.9947 0.7432 0.8763

7.
A relaxed structure of PmNd6Sm2Er3, computed with GGA-PBE.

Properties
Energy of formation from the pure elements   0.0143 eV/atom
Crystal system   monoclinic

a b c (Å): 6.2969 6.2969 11.9363
angles (deg): 95.03 95.03 120.01
Element x y z (fractional)
Pm1 0.0000 0.0000 0.0000
Nd1 0.9153 0.5819 0.7464
Nd2 0.7513 0.7513 0.2537
Nd3 0.0847 0.4181 0.2536
Nd4 0.5819 0.9153 0.7464
Nd5 0.2487 0.2487 0.7463
Nd6 0.4181 0.0847 0.2536
Sm1 0.3334 0.6666 0.0000
Sm2 0.6666 0.3334 0.0000
Er1 0.1667 0.8333 0.5000
Er2 0.8333 0.1667 0.5000
Er3 0.5000 0.5000 0.5000

8.
A relaxed structure of AlTl2Os, computed with GGA-PBE.

Properties
Energy of formation from the pure elements   0.7987 eV/atom
Energy above the lowest structure with this stoichiometry   2.24 eV per formula unit
Crystal system   trigonal

a b c (Å): 10.6300 10.6300 10.6300
angles (deg): 16.56 16.56 16.56
Element x y z (fractional)
Tl1 0.0076 0.0076 0.0076
Tl2 0.4924 0.4924 0.4924
Os1 0.7500 0.7500 0.7500
Al1 0.2500 0.2500 0.2500

Number 1: magnetic moment 0.00 Bohr magnetons per cell, DOS at the Fermi energy 0.493 states/eV per atom. Number 2: magnetic moment 0.00 Bohr magnetons per cell, DOS at the Fermi energy 0.620 states/eV per atom. Number 3: magnetic moment 0.00 Bohr magnetons per cell, DOS at the Fermi energy 0.000 states/eV per atom. Number 4: magnetic moment 0.00 Bohr magnetons per cell, DOS at the Fermi energy 1.782 states/eV per atom. Number 5: magnetic moment 0.91 Bohr magnetons per cell, DOS at the Fermi energy 4.856 states/eV per atom. Number 6: magnetic moment 0.00 Bohr magnetons per cell, DOS at the Fermi energy 0.566 states/eV per atom. Number 7: magnetic moment 0.00 Bohr magnetons per cell, DOS at the Fermi energy 1.220 states/eV per atom. Number 8: magnetic moment 0.00 Bohr magnetons per cell, DOS at the Fermi energy 0.747 states/eV per atom.